(1)
# GGA-PBE SrPb2SBr, optimized geometry
# Uncorrected energy = -15.0 eV per cell
data_SrPb2SBr
_chemical_formula_sum 'Sr1 Pb2 S1 Br1'
_cell_length_a 5.427
_cell_length_b 5.427
_cell_length_c 12.256
_cell_angle_alpha 90.00
_cell_angle_beta 90.00
_cell_angle_gamma 90.00
_space_group_name_H-M_alt 'P 4/m m m'
_space_group_IT_number 123
_space_group_name_Hall '-P 4 2'
loop_
_atom_site_label
_atom_site_type_symbol
_atom_site_fract_x
_atom_site_fract_y
_atom_site_fract_z
Sr1 Sr 0.000 0.000 0.000
Pb1 Pb 0.000 0.500 0.500
S1 S 0.500 0.500 0.500
Br1 Br 0.500 0.500 0.000

(2)
# GGA-PBE Te2PbSBr, optimized geometry
# Uncorrected energy = -12.6 eV per cell
data_Te2PbSBr
_chemical_formula_sum 'Te2 Pb1 S1 Br1'
_cell_length_a 6.104
_cell_length_b 6.104
_cell_length_c 5.143
_cell_angle_alpha 90.00
_cell_angle_beta 90.00
_cell_angle_gamma 90.00
_space_group_name_H-M_alt 'P 4/m m m'
_space_group_IT_number 123
_space_group_name_Hall '-P 4 2'
loop_
_atom_site_label
_atom_site_type_symbol
_atom_site_fract_x
_atom_site_fract_y
_atom_site_fract_z
Te1 Te 0.000 0.500 0.000
Pb1 Pb 0.000 0.000 0.000
S1 S 0.000 0.000 0.500
Br1 Br 0.500 0.500 0.500

(3)
# GGA-PBE SbPb2Br, optimized geometry
# E above lowest polymorph = 1.36 eV per formula unit
# Uncorrected energy = -13.3 eV per cell
data_SbPb2Br
_chemical_formula_sum 'Sb1 Pb2 Br1'
_cell_length_a 3.556
_cell_length_b 5.563
_cell_length_c 6.110
_cell_angle_alpha 90.00
_cell_angle_beta 90.00
_cell_angle_gamma 90.00
_space_group_name_H-M_alt 'P m m m'
_space_group_IT_number 47
_space_group_name_Hall '-P 2 2'
loop_
_atom_site_label
_atom_site_type_symbol
_atom_site_fract_x
_atom_site_fract_y
_atom_site_fract_z
Sb1 Sb 0.000 0.000 0.000
Pb1 Pb 0.000 0.500 0.500
Pb2 Pb 0.500 0.500 0.000
Br1 Br 0.500 0.000 0.500

(4)
# GGA-PBE SbPb2Br, optimized geometry
# E above lowest polymorph = 0.43 eV per formula unit
# Uncorrected energy = -14.2 eV per cell
data_SbPb2Br
_chemical_formula_sum 'Sb1 Pb2 Br1'
_cell_length_a 3.738
_cell_length_b 4.007
_cell_length_c 8.185
_cell_angle_alpha 90.00
_cell_angle_beta 90.00
_cell_angle_gamma 90.00
_space_group_name_H-M_alt 'P m m m'
_space_group_IT_number 47
_space_group_name_Hall '-P 2 2'
loop_
_atom_site_label
_atom_site_type_symbol
_atom_site_fract_x
_atom_site_fract_y
_atom_site_fract_z
Sb1 Sb 0.000 0.000 0.000
Pb1 Pb 0.500 0.500 0.233
Br1 Br 0.000 0.000 0.500

(5)
# GGA-PBE SbPbBr2, optimized geometry
# E above lowest polymorph = 0.53 eV per formula unit
# Uncorrected energy = -23.8 eV per cell
data_SbPbBr2
_chemical_formula_sum 'Sb2 Pb2 Br4'
_cell_length_a 3.647
_cell_length_b 6.274
_cell_length_c 10.133
_cell_angle_alpha 90.00
_cell_angle_beta 90.00
_cell_angle_gamma 90.00
_space_group_name_H-M_alt 'C m m m'
_space_group_IT_number 65
_space_group_name_Hall '-C 2 2'
loop_
_atom_site_label
_atom_site_type_symbol
_atom_site_fract_x
_atom_site_fract_y
_atom_site_fract_z
Sb1 Sb 0.000 0.000 0.000
Pb1 Pb 0.000 0.000 0.500
Br1 Br 0.000 0.500 0.239

(6)
# GGA-PBE SbPbBr2, optimized geometry
# E above lowest polymorph = 1.15 eV per formula unit
# Uncorrected energy = -11.3 eV per cell
data_SbPbBr2
_chemical_formula_sum 'Sb1 Pb1 Br2'
_cell_length_a 3.510
_cell_length_b 4.719
_cell_length_c 6.903
_cell_angle_alpha 90.00
_cell_angle_beta 90.00
_cell_angle_gamma 90.00
_space_group_name_H-M_alt 'P m m m'
_space_group_IT_number 47
_space_group_name_Hall '-P 2 2'
loop_
_atom_site_label
_atom_site_type_symbol
_atom_site_fract_x
_atom_site_fract_y
_atom_site_fract_z
Sb1 Sb 0.000 0.000 0.000
Pb1 Pb 0.000 0.000 0.500
Br1 Br 0.500 0.500 0.252

Respective total magnetic moment values: 0.0, 3.5, 0.0, 0.0, 0.0, 0.0 Bohr magnetons per cell.
Respective raw formation energy values: -0.016, 0.628, -0.013, -0.247, -0.181, -0.025 eV/atom.